Entry 1:
An optimized crystal structure of Tb8Y3Ho, computed with GGA-PBE.

Geometry as CIF:
```
data_Tb8Y3Ho
_space_group_name_H-M_alt 'I 4/m m m'
_space_group_IT_number 139
_space_group_name_Hall '-I 4 2'
_cell_length_a 7.714
_cell_length_b 7.714
_cell_length_c 15.415
_cell_angle_alpha 90.00
_cell_angle_beta 90.00
_cell_angle_gamma 90.00
loop_
_atom_site_label
_atom_site_fract_x
_atom_site_fract_y
_atom_site_fract_z
_atom_site_occupancy
Tb1 0.249 0.249 0.124 1
Y1 0.000 0.000 0.500 1
Y2 0.000 0.500 0.250 1
Ho1 0.000 0.000 0.000 1
```

Values from the calculation:
The calculated density is 6.17 g cm⁻³. As for the energy of formation from the pure elements: 8.96 eV per formula unit. The value obtained for the total magnetization is 0.0 μB/f.u.

Entry 2:
An optimized crystal structure of Tb4Y7Ho2, computed with GGA-PBE.

Geometry as CIF:
```
data_Tb4Y7Ho2
_space_group_name_H-M_alt 'P -1'
_space_group_IT_number 2
_space_group_name_Hall '-P 1'
_cell_length_a 6.487
_cell_length_b 6.636
_cell_length_c 10.056
_cell_angle_alpha 103.87
_cell_angle_beta 92.17
_cell_angle_gamma 93.62
loop_
_atom_site_label
_atom_site_fract_x
_atom_site_fract_y
_atom_site_fract_z
_atom_site_occupancy
Tb1 0.167 0.024 0.384 1
Tb2 0.328 0.883 0.739 1
Y1 0.000 0.500 0.500 1
Y2 0.180 0.220 0.100 1
Y3 0.350 0.723 0.070 1
Y4 0.464 0.644 0.390 1
Ho1 0.138 0.390 0.800 1
```

Values from the calculation:
The calculated density is 6.30 g cm⁻³. As for the energy of formation from the pure elements: 1.11 eV per formula unit. The value obtained for the total magnetization is 0.0 μB/f.u.

Entry 3:
An optimized crystal structure of TbY8Ho2, computed with GGA-PBE.

Geometry as CIF:
```
data_TbY8Ho2
_space_group_name_H-M_alt 'C 1 2/m 1'
_space_group_IT_number 12
_space_group_name_Hall '-C 2y'
_cell_length_a 12.160
_cell_length_b 11.484
_cell_length_c 5.795
_cell_angle_alpha 90.00
_cell_angle_beta 103.09
_cell_angle_gamma 90.00
loop_
_atom_site_label
_atom_site_fract_x
_atom_site_fract_y
_atom_site_fract_z
_atom_site_occupancy
Tb1 0.000 0.000 0.000 1
Y1 0.074 0.500 0.289 1
Y2 0.104 0.251 0.795 1
Y3 0.229 0.500 0.905 1
Ho1 0.137 0.000 0.519 1
```

Values from the calculation:
The calculated density is 5.06 g cm⁻³. The offset from the most stable computed form is 0.312 eV/atom. As for the energy of formation from the pure elements: 5.21 eV per formula unit. The value obtained for the total magnetization is 0.0 μB/f.u.

Entry 4:
An optimized crystal structure of TbY2Ho6, computed with GGA-PBE.

Geometry as CIF:
```
data_TbY2Ho6
_space_group_name_H-M_alt 'P -1'
_space_group_IT_number 2
_space_group_name_Hall '-P 1'
_cell_length_a 3.542
_cell_length_b 8.658
_cell_length_c 9.361
_cell_angle_alpha 89.97
_cell_angle_beta 79.17
_cell_angle_gamma 89.94
loop_
_atom_site_label
_atom_site_fract_x
_atom_site_fract_y
_atom_site_fract_z
_atom_site_occupancy
Tb1 0.000 0.000 0.000 1
Y1 0.444 0.334 0.112 1
Ho1 0.112 0.332 0.776 1
Ho2 0.223 0.666 0.554 1
Ho3 0.333 0.000 0.334 1
```

Values from the calculation:
The calculated density is 7.81 g cm⁻³. As for the energy of formation from the pure elements: 0.19 eV per formula unit. The value obtained for the total magnetization is 0.0 μB/f.u.

Entry 5:
An optimized crystal structure of Tb6Y12Ho, computed with GGA-PBE.

Geometry as CIF:
```
data_Tb6Y12Ho
_space_group_name_H-M_alt 'R -3'
_space_group_IT_number 148
_space_group_name_Hall '-R 3'
_cell_length_a 14.6774
_cell_length_b 14.6774
_cell_length_c 10.3303
_cell_angle_alpha 90.00
_cell_angle_beta 90.00
_cell_angle_gamma 120.00
loop_
_atom_site_label
_atom_site_fract_x
_atom_site_fract_y
_atom_site_fract_z
_atom_site_occupancy
Tb1 0.0524 0.8399 0.2617 1
Y1 0.0547 0.7990 0.5808 1
Y2 0.0658 0.8391 0.9168 1
Ho1 0.0000 0.0000 0.5000 1
```

Values from the calculation:
The calculated density is 5.65 g cm⁻³. The offset from the most stable computed form is 0.104 eV/atom. As for the energy of formation from the pure elements: 4.83 eV per formula unit. The value obtained for the total magnetization is 0.0 μB/f.u.

Entry 6:
An optimized crystal structure of Tb2Y12Ho, computed with GGA-PBE.

Geometry as CIF:
```
data_Tb2Y12Ho
_space_group_name_H-M_alt 'P 1 2/m 1'
_space_group_IT_number 10
_space_group_name_Hall '-P 2y'
_cell_length_a 3.650
_cell_length_b 5.698
_cell_length_c 23.558
_cell_angle_alpha 90.00
_cell_angle_beta 94.42
_cell_angle_gamma 90.00
loop_
_atom_site_label
_atom_site_fract_x
_atom_site_fract_y
_atom_site_fract_z
_atom_site_occupancy
Tb1 0.142 0.000 0.285 1
Y1 0.097 0.500 0.193 1
Y2 0.221 0.500 0.443 1
Y3 0.289 0.000 0.575 1
Y4 0.339 0.500 0.678 1
Y5 0.427 0.000 0.854 1
Y6 0.464 0.500 0.934 1
Ho1 0.000 0.000 0.000 1
```

Values from the calculation:
The calculated density is 5.27 g cm⁻³. As for the energy of formation from the pure elements: 1.15 eV per formula unit. The value obtained for the total magnetization is 0.0 μB/f.u.

Entry 7:
An optimized crystal structure of Tb3YHo6, computed with GGA-PBE.

Geometry as CIF:
```
data_Tb3YHo6
_space_group_name_H-M_alt 'C m c 21'
_space_group_IT_number 36
_space_group_name_Hall 'C 2c -2'
_cell_length_a 9.549
_cell_length_b 20.974
_cell_length_c 6.355
_cell_angle_alpha 90.00
_cell_angle_beta 90.00
_cell_angle_gamma 90.00
loop_
_atom_site_label
_atom_site_fract_x
_atom_site_fract_y
_atom_site_fract_z
_atom_site_occupancy
Tb1 0.000 0.079 0.000 1
Tb2 0.169 0.372 0.606 1
Y1 0.000 0.339 0.080 1
Ho1 0.000 0.197 0.302 1
Ho2 0.000 0.486 0.279 1
Ho3 0.176 0.219 0.765 1
Ho4 0.182 0.061 0.526 1
```

Values from the calculation:
The calculated density is 8.12 g cm⁻³. The offset from the most stable computed form is 0.000 eV/atom. As for the energy of formation from the pure elements: 1.22 eV per formula unit. The value obtained for the total magnetization is 0.0 μB/f.u.

Entry 8:
An optimized crystal structure of Tb6Y12Ho, computed with GGA-PBE.

Geometry as CIF:
```
data_Tb6Y12Ho
_space_group_name_H-M_alt 'R -3'
_space_group_IT_number 148
_space_group_name_Hall '-R 3'
_cell_length_a 11.8951
_cell_length_b 11.8951
_cell_length_c 15.3151
_cell_angle_alpha 90.00
_cell_angle_beta 90.00
_cell_angle_gamma 120.00
loop_
_atom_site_label
_atom_site_fract_x
_atom_site_fract_y
_atom_site_fract_z
_atom_site_occupancy
Tb1 0.0129 0.4243 0.1805 1
Y1 0.0113 0.8323 0.6905 1
Y2 0.0431 0.8518 0.9147 1
Ho1 0.0000 0.0000 0.5000 1
```

Values from the calculation:
The calculated density is 5.80 g cm⁻³. The offset from the most stable computed form is 0.000 eV/atom. As for the energy of formation from the pure elements: 2.85 eV per formula unit. The value obtained for the total magnetization is 0.0 μB/f.u.

Entry 9:
An optimized crystal structure of Tb2Y6Ho3Zr, computed with GGA-PBE.

Geometry as CIF:
```
data_Tb2Y6Ho3Zr
_space_group_name_H-M_alt 'C 1 2/m 1'
_space_group_IT_number 12
_space_group_name_Hall '-C 2y'
_cell_length_a 6.104
_cell_length_b 10.555
_cell_length_c 11.666
_cell_angle_alpha 90.00
_cell_angle_beta 99.96
_cell_angle_gamma 90.00
loop_
_atom_site_label
_atom_site_fract_x
_atom_site_fract_y
_atom_site_fract_z
_atom_site_occupancy
Tb1 0.000 0.167 0.000 1
Y1 0.245 0.336 0.246 1
Y2 0.245 0.500 0.755 1
Ho1 0.000 0.000 0.500 1
Ho2 0.000 0.333 0.500 1
Zr1 0.000 0.500 0.000 1
```

Values from the calculation:
The calculated density is 6.45 g cm⁻³. As for the energy of formation from the pure elements: 0.61 eV per formula unit. The value obtained for the total magnetization is 0.0 μB/f.u.

Entry 10:
An optimized crystal structure of Tb3Y6Ho2Zr, computed with GGA-PBE.

Geometry as CIF:
```
data_Tb3Y6Ho2Zr
_space_group_name_H-M_alt 'C 1 2/m 1'
_space_group_IT_number 12
_space_group_name_Hall '-C 2y'
_cell_length_a 6.112
_cell_length_b 10.568
_cell_length_c 11.670
_cell_angle_alpha 90.00
_cell_angle_beta 99.97
_cell_angle_gamma 90.00
loop_
_atom_site_label
_atom_site_fract_x
_atom_site_fract_y
_atom_site_fract_z
_atom_site_occupancy
Tb1 0.000 0.000 0.000 1
Tb2 0.000 0.333 0.000 1
Y1 0.245 0.336 0.744 1
Y2 0.246 0.500 0.256 1
Ho1 0.000 0.167 0.500 1
Zr1 0.000 0.500 0.500 1
```

Values from the calculation:
The calculated density is 6.40 g cm⁻³. As for the energy of formation from the pure elements: 0.58 eV per formula unit. The value obtained for the total magnetization is 0.0 μB/f.u.

What is the total magnetization in the seventh record? 0.0 μB/f.u.